## MgIn3S (meta-GGA SCAN)

Data for MgIn3S at its PBEsol-relaxed geometry.

Geometry as extended XYZ:
```
5
Lattice="5.3026 0.0000 0.0000 0.0000 5.3026 0.0000 0.0000 0.0000 5.3026" Properties=species:S:1:pos:R:3 pbc="T T T"
S 2.6513 2.6513 2.6513
In 0.0000 0.0000 2.6513
In 2.6513 0.0000 0.0000
In 0.0000 2.6513 0.0000
Mg 0.0000 0.0000 0.0000
```

Summary:
The value obtained for the total DFT energy (no corrections) is -22.565 eV/atom. The raw formation energy is 0.39 eV/atom. The magnetic moment comes out at 0.000 μB/cell. Its theoretical density is 4.464 g cm⁻³.

## Li2Cu2F5 (meta-GGA SCAN)

Data for Li2Cu2F5 at its PBEsol-relaxed geometry.

Geometry as extended XYZ:
```
18
Lattice="-2.1519 0.9671 -1.7333 -3.8126 -2.0859 5.1691 0.0955 8.4178 4.2345" Properties=species:S:1:pos:R:3 pbc="T T T"
F -1.0275 3.5734 2.7457
F -4.8414 3.7255 4.9245
F -2.6266 5.2730 5.5737
F -3.2423 2.0260 2.0965
F -3.8608 1.1741 4.6112
F -2.0081 6.1249 3.0590
F -5.1669 5.8240 6.4310
F -3.1340 -1.0077 3.0351
F -0.7021 1.4750 1.2392
F -2.7349 8.3066 4.6351
Li -3.9836 4.1715 6.5661
Li -3.8290 6.8668 5.4485
Li -1.8854 3.1275 1.1041
Li -2.0400 0.4321 2.2217
Cu -4.0495 2.9022 3.5092
Cu -1.8195 4.3967 4.1610
Cu -3.8399 -0.8444 4.7288
Cu -2.0290 8.1434 2.9414
```

Summary:
The value obtained for the total DFT energy (no corrections) is -8.098 eV/atom. The raw formation energy is -2.22 eV/atom. The magnetic moment comes out at 2.000 μB/cell. Its theoretical density is 4.259 g cm⁻³.

## MgNi2Os (meta-GGA SCAN)

Data for MgNi2Os at its PBEsol-relaxed geometry.

Geometry as extended XYZ:
```
4
Lattice="4.1430 0.0000 0.0000 2.0715 3.5879 0.0000 2.0715 1.1960 3.3827" Properties=species:S:1:pos:R:3 pbc="T T T"
Ni 6.2145 3.5879 2.5370
Ni 0.0000 0.0000 0.0000
Os 2.0715 1.1960 0.8457
Mg 4.1430 2.3919 1.6914
```

Summary:
The value obtained for the total DFT energy (no corrections) is -27.043 eV/atom. The magnetic moment comes out at 1.999 μB/cell. Its theoretical density is 10.961 g cm⁻³.

## DyAg (meta-GGA SCAN)

Data for DyAg at its PBEsol-relaxed geometry.

Geometry as extended XYZ:
```
2
Lattice="-1.1349 -1.2853 3.1290 3.0946 -1.7273 0.4129 1.3660 2.8452 1.6642" Properties=species:S:1:pos:R:3 pbc="T T T"
Ag 1.6629 -0.0837 2.6031
Dy 0.0000 0.0000 0.0000
```

Summary:
The value obtained for the total DFT energy (no corrections) is -39.968 eV/atom. The magnetic moment comes out at 0.000 μB/cell. Its theoretical density is 9.884 g cm⁻³.

## Nb4FeS8 (meta-GGA SCAN)

Data for Nb4FeS8 at its PBEsol-relaxed geometry.

Geometry as extended XYZ:
```
13
Lattice="3.3023 0.0000 0.0000 0.0000 5.6858 0.0084 -1.6511 -2.7811 11.6571" Properties=species:S:1:pos:R:3 pbc="T T T"
S 1.6511 1.0098 10.4517
S 1.6511 -0.9348 4.3870
S 0.0000 -1.8755 10.4107
S 0.0000 3.8395 7.2786
S 1.6511 4.7802 1.2548
S 0.0000 1.9420 4.4039
S 0.0000 1.8949 1.2138
S 1.6511 0.9628 7.2616
Nb 1.6511 2.8429 8.7988
Nb 1.6511 2.8247 2.7898
Nb 0.0000 0.0800 8.8757
Nb 0.0000 0.0618 2.8667
Fe 0.0000 0.0000 0.0000
```

Summary:
The value obtained for the total DFT energy (no corrections) is -18.619 eV/atom. The raw formation energy is -1.11 eV/atom. The magnetic moment comes out at 0.001 μB/cell. Its theoretical density is 5.187 g cm⁻³.

## ScBeNi6 (meta-GGA SCAN)

Data for ScBeNi6 at its PBEsol-relaxed geometry.

Geometry as extended XYZ:
```
32
Lattice="-0.3579 1.9796 5.7679 -5.4179 -1.9831 -2.0072 2.1662 -9.2762 3.3181" Properties=species:S:1:pos:R:3 pbc="T T T"
Sc -0.4852 -3.6064 5.5671
Sc 1.6348 -7.0009 2.5043
Sc 0.5313 -2.2753 0.8139
Sc -3.1244 -5.6733 1.5117
Ni 1.0410 -7.6831 4.9338
Ni -1.9313 -1.5950 0.3745
Ni -1.8048 -4.6399 3.5394
Ni -4.0364 -3.8612 3.0131
Ni -2.8879 -0.0018 1.8804
Ni -1.1188 -1.2032 4.5963
Ni -0.1610 -2.9017 3.1654
Ni -1.3841 -3.8595 1.2861
Ni 0.0000 0.0000 0.0000
Ni -2.9892 -8.7114 4.6901
Ni 0.0260 -6.1055 6.3499
Ni -3.4487 -6.3781 3.9134
Ni -2.2256 -5.4202 5.7927
Ni -0.6204 -0.5683 2.3888
Ni -2.8134 -2.9033 4.8924
Ni -0.7963 -6.3764 2.1864
Ni -4.6507 -1.5966 2.1451
Ni -0.2699 -8.7098 2.9195
Ni 0.4267 -5.4186 4.0657
Ni -2.4908 -8.0766 2.4826
Ni -3.6356 -3.1742 0.7290
Ni -3.3398 -0.5700 4.1594
Ni -1.6784 -7.6848 6.7044
Ni 1.0831 -4.6381 1.6591
Be -4.2424 -1.0626 -0.2010
Be -2.3761 -2.1934 2.6643
Be -1.2335 -7.0864 4.4145
Be -1.5334 1.0590 3.9617
```

Summary:
The value obtained for the total DFT energy (no corrections) is -14.717 eV/atom. The magnetic moment comes out at 8.497 μB/cell. Its theoretical density is 7.693 g cm⁻³.